First-principles (PBE) data for an optimized crystal structure of DyPaAgPb, as listed in the Alexandria database.

Output
The energy of formation from the pure elements is 0.034 eV/atom. As for the space group: No. 216. The volume is 26.514 Å³/atom. The value obtained for the total energy is -0.3770 Ry per atom. The magnetic moment is 2.70 μB/cell.

Cell: 5.3131 5.3131 5.3131 Å, 60.00 60.00 60.00°
With the nearest neighbours (Å) after each atom.
Fractional positions:
Pb: 0.7500 0.7500 0.7500  4 Pa 3.25, 4 Dy 3.25
Pa: 0.5000 0.5000 0.5000  4 Ag 3.25, 4 Pb 3.25
Ag: 0.2500 0.2500 0.2500  4 Dy 3.25, 4 Pa 3.25
Dy: 0.0000 0.0000 0.0000  4 Pb 3.25, 4 Ag 3.25